Density functional theory data (PBE) for ZnMo after structural relaxation.

* relative energy among the computed polymorphs: 94 meV/atom
* formation enthalpy at 0 K: 0.155 eV/atom
* density: 8.9 g/cm³
* final energy: -5.90 eV per atom

a = 4.5651 Å, b = 7.4099 Å, c = 7.4099 Å
α = 143.14°, β = 90.00°, γ = 90.00°
Sites, in units of the cell vectors:
Zn 0.0000 0.0000 0.0000
Zn 0.0000 0.3861 0.5777
Zn 0.0000 0.5777 0.3861
Zn 0.5000 0.7819 0.9739
Zn 0.5000 0.9739 0.7819
Mo 0.0000 0.1639 0.7552
Mo 0.0000 0.7552 0.1639
Mo 0.5000 0.2089 0.6078
Mo 0.5000 0.3603 0.3603
Mo 0.5000 0.6078 0.2089